Computed, not measured: crystalline SiTeP3 at its relaxed geometry at the PBE-GGA level of DFT.

abc: 4.5604 4.5604 4.5604
angles: 90.00 90.00 90.00
With the nearest neighbours (Å) after each atom.
Fractional positions:
1 Si 0.0000 0.0000 0.0000  6 P 2.28
2 Te 0.5000 0.5000 0.5000  12 P 3.22
3 P 0.0000 0.0000 0.5000  2 Si 2.28
4 P 0.0000 0.5000 0.0000  2 Si 2.28
5 P 0.5000 0.0000 0.0000  2 Si 2.28

Properties
- Uncorrected formation energy: 681 meV/atom
- Space group: Pm-3m, No. 221
- Energy relative to the lowest polymorph listed for this composition: 0.000 eV/atom
- Size of the total moment: 0.0 μB/cell
- VASP energy: -21.4 eV/cell



Computed, not measured: crystalline Rb2LiHgI6 at its relaxed geometry at the PBE-GGA level of DFT.

abc: 8.4016 8.4016 8.4016
angles: 120.11 120.11 89.81
With the nearest neighbours (Å) after each atom.
Fractional positions:
1 Rb 0.2500 0.7500 0.5000  12 I 4.19-4.20
2 Rb 0.7500 0.2500 0.5000  12 I 4.19-4.20
3 Li 0.0000 0.0000 0.0000  6 I 2.93-2.95
4 Hg 0.5000 0.5000 0.0000  6 I 3.00
5 I 0.2470 0.2470 0.4941  1 Li 2.93, 1 Hg 3.00
6 I 0.2470 0.7530 0.0000  1 Li 2.93, 1 Hg 3.00
7 I 0.2481 0.2481 0.0000  1 Li 2.95, 1 Hg 3.00
8 I 0.7519 0.7519 0.0000  1 Li 2.95, 1 Hg 3.00
9 I 0.7530 0.2470 0.0000  1 Li 2.93, 1 Hg 3.00
10 I 0.7530 0.7530 0.5059  1 Li 2.93, 1 Hg 3.00

Properties
- Uncorrected formation energy: -806 meV/atom
- Space group: I4/mmm, No. 139
- Size of the total moment: 0.0 μB/cell
- VASP energy: -21.5 eV/cell



Computed, not measured: crystalline Cr2CoSi at its relaxed geometry at the PBE-GGA level of DFT.

abc: 4.4569 4.4569 2.5567
angles: 90.00 90.00 116.90
With the nearest neighbours (Å) after each atom.
Fractional positions:
1 Cr 0.0000 0.5000 0.0000  4 Cr 2.33-2.56, 4 Co 2.57, 4 Si 2.57
2 Cr 0.5000 0.0000 0.0000  4 Cr 2.33-2.56, 4 Co 2.57, 4 Si 2.57
3 Co 0.0000 0.0000 0.5000  2 Si 2.33, 2 Co 2.56, 8 Cr 2.57
4 Si 0.5000 0.5000 0.5000  2 Co 2.33, 2 Si 2.56, 8 Cr 2.57

Properties
- Uncorrected formation energy: -116 meV/atom
- Space group: Cmmm, No. 65
- Size of the total moment: 0.0 μB/cell
- VASP energy: -32.2 eV/cell



Computed, not measured: crystalline KCdPb2 at its relaxed geometry at the PBE-GGA level of DFT.

abc: 11.6828 11.6828 11.6828
angles: 154.71 154.71 36.06
With the nearest neighbours (Å) after each atom.
Fractional positions:
1 K 0.0000 0.0000 0.0000  4 Pb 3.46, 4 Cd 3.62
2 K 0.7500 0.2500 0.5000  4 Pb 3.46, 4 Cd 3.62
3 Cd 0.2500 0.7500 0.5000  4 Pb 3.20
4 Cd 0.5000 0.5000 0.0000  4 Pb 3.20
5 Pb 0.1902 0.6250 0.0652  2 Pb 3.18, 2 Cd 3.20, 2 K 3.46
6 Pb 0.3750 0.4402 0.5652  2 Pb 3.18, 2 Cd 3.20, 2 K 3.46
7 Pb 0.5598 0.1250 0.9348  2 Pb 3.18, 2 Cd 3.20, 2 K 3.46
8 Pb 0.8750 0.8098 0.4348  2 Pb 3.18, 2 Cd 3.20, 2 K 3.46

Properties
- Space group: I-42d, No. 122
- Size of the total moment: 0.0 μB/cell
- VASP energy: -18.3 eV/cell
- Formation energy: 0.07 eV/atom